TbTmCr2O8 | PBE with a Hubbard U | relaxed

Summary:
The calculation puts the total energy at -7.649 eV per atom. Its space group is I-4m2. The value obtained for the volume is 13.5 Å³ per atom.

abc: 5.9686 5.9686 5.9686
angles: 106.03 106.03 116.61
Last column: nearest neighbours and their distance in Å.
Element x y z (fractional)
1 Tb 0.2500 0.7500 0.5000  8 O 2.32-2.45
2 Tm 0.0000 0.0000 0.0000  8 O 2.30-2.41
3 Cr 0.7500 0.2500 0.5000  4 O 1.73
4 Cr 0.5000 0.5000 0.0000  4 O 1.72
5 O 0.3901 0.0765 0.3136  1 Cr 1.73
6 O 0.3227 0.5056 0.1829  1 Cr 1.72
7 O 0.3227 0.1398 0.8171  1 Cr 1.72
8 O 0.7629 0.0765 0.6864  1 Cr 1.73
9 O 0.8602 0.6773 0.1829  1 Cr 1.72
10 O 0.9235 0.2371 0.3136  1 Cr 1.73
11 O 0.9235 0.6099 0.6864  1 Cr 1.73
12 O 0.4944 0.6773 0.8171  1 Cr 1.72